# 1
# LiMg3Sn4Pb2

A geometry-optimized LiMg3Sn4Pb2 structure (PBE-GGA, the Alexandria database).

Geometry as POSCAR:
```
LiMg3Sn4Pb2
1.0
-0.650 -4.325 1.207
2.857 0.543 3.483
-10.033 3.645 7.662
Sn Pb Mg Li
4 2 3 1
direct
0.500 0.500 0.000
0.500 0.000 0.639
0.000 0.500 0.361
0.000 0.000 0.000
0.500 0.000 0.285
0.000 0.500 0.715
0.000 0.500 0.149
0.500 0.000 0.851
0.000 0.000 0.500
0.500 0.500 0.500
```

Output
- DFT formation energy: -0.057 eV per atom
- Crystal system: tetragonal
- Symmetry: No. 115
- Total magnetization: 0.000 μB/atom

# 2
# KHoAgCl5

A geometry-optimized KHoAgCl5 structure (PBE-GGA, the Alexandria database).

Geometry as POSCAR:
```
KHoAgCl5
1.0
-7.423 0.451 -1.490
1.188 -4.726 5.813
1.878 8.977 4.148
Cl K Ag Ho
10 2 2 2
direct
0.304 0.918 0.595
0.082 0.696 0.905
0.927 0.073 0.750
0.254 0.364 0.560
0.636 0.746 0.940
0.364 0.254 0.060
0.073 0.927 0.250
0.696 0.082 0.405
0.746 0.636 0.440
0.918 0.304 0.095
0.346 0.654 0.250
0.654 0.346 0.750
0.689 0.311 0.250
0.311 0.689 0.750
0.000 0.000 0.500
0.000 0.000 0.000
```

Output
- Crystal system: monoclinic
- Symmetry: No. 15
- Formation energy (no corrections): -1.7583 eV per atom
- Total magnetization: 0.000 μB/atom

# 3
# GaHgBi2F

A geometry-optimized GaHgBi2F structure (PBE-GGA, the Alexandria database).

Geometry as POSCAR:
```
GaHgBi2F
1.0
5.707 0.000 0.000
0.000 5.418 0.000
0.000 0.000 5.707
Bi Hg Ga F
2 1 1 1
direct
0.500 0.000 0.000
0.000 0.000 0.500
0.000 0.000 0.000
0.000 0.500 0.000
0.500 0.500 0.500
```

Output
- Crystal system: tetragonal
- Symmetry: No. 123
- Formation energy (no corrections): 0.3306 eV per atom
- Total magnetization: 0.000 μB/atom

# 4
# Be2CrW

A geometry-optimized Be2CrW structure (PBE-GGA, the Alexandria database).

Geometry as POSCAR:
```
Be2CrW
1.0
3.022 0.000 0.000
0.000 3.022 0.000
0.000 0.000 5.197
W Be Cr
1 2 1
direct
0.500 0.500 0.738
0.500 0.500 0.241
0.000 0.000 0.020
0.000 0.000 0.502
```

Output
- DFT formation energy: 0.273 eV per atom
- Offset from the most stable computed form: 0.3456 eV/atom
- Crystal system: tetragonal
- Symmetry: No. 99
- Total magnetization: 0.150 μB/atom

# 5
# AsPd2Au

A geometry-optimized AsPd2Au structure (PBE-GGA, the Alexandria database).

Geometry as POSCAR:
```
AsPd2Au
1.0
7.188 0.000 0.000
0.000 7.188 0.000
3.594 3.594 2.718
As Au Pd
2 2 4
direct
0.250 0.750 0.500
0.500 0.500 0.000
0.750 0.250 0.500
0.000 0.000 0.000
0.587 0.125 0.250
0.163 0.625 0.250
0.875 0.837 0.750
0.375 0.413 0.750
```

Output
- DFT formation energy: -0.110 eV per atom
- Crystal system: tetragonal
- Symmetry: No. 122
- Total magnetization: 0.000 μB/atom

# 6
# YThBe

A geometry-optimized YThBe structure (PBE-GGA, the Alexandria database).

Geometry as POSCAR:
```
YThBe
1.0
3.457 0.000 0.000
0.000 3.457 0.000
-1.729 -1.729 6.209
Y Be Th
1 1 1
direct
0.027 0.027 0.054
0.664 0.664 0.329
0.309 0.309 0.618
```

Output
- DFT formation energy: 0.155 eV per atom
- Offset from the most stable computed form: 0.0000 eV/atom
- Crystal system: tetragonal
- Symmetry: No. 107
- Total magnetization: 0.000 μB/atom

# 7
# Li4PrHg12

A geometry-optimized Li4PrHg12 structure (PBE-GGA, the Alexandria database).

Geometry as POSCAR:
```
Li4PrHg12
1.0
8.178 0.000 0.000
-2.726 7.711 0.000
-2.726 -3.855 6.678
Hg Pr Li
12 1 4
direct
0.342 0.501 0.159
0.841 0.342 0.183
0.183 0.841 0.342
0.159 0.342 0.501
0.342 0.183 0.841
0.817 0.159 0.658
0.499 0.841 0.658
0.501 0.159 0.342
0.658 0.499 0.841
0.159 0.658 0.817
0.841 0.658 0.499
0.658 0.817 0.159
0.000 0.000 0.000
0.500 0.500 0.500
0.000 0.000 0.500
0.500 0.000 0.000
0.000 0.500 0.000
```

Output
- DFT formation energy: -0.133 eV per atom
- Crystal system: cubic
- Symmetry: No. 204
- Total magnetization: 0.000 μB/atom

# 8
# Rb3Li2PbF9

A geometry-optimized Rb3Li2PbF9 structure (PBE-GGA, the Alexandria database).

Geometry as POSCAR:
```
Rb3Li2PbF9
1.0
6.072 0.000 0.000
-3.036 5.259 0.000
0.000 0.000 7.882
Pb Rb F Li
1 3 9 2
direct
0.000 0.000 0.500
0.333 0.667 0.706
0.667 0.333 0.294
0.000 0.000 0.000
0.162 0.324 0.343
0.324 0.162 0.657
0.500 0.000 0.000
0.838 0.162 0.657
0.000 0.500 0.000
0.500 0.500 0.000
0.162 0.838 0.343
0.676 0.838 0.343
0.838 0.676 0.657
0.667 0.333 0.905
0.333 0.667 0.095
```

Output
- Crystal system: trigonal
- Symmetry: No. 164
- Formation energy (no corrections): -2.5703 eV per atom
- Total magnetization: 0.003 μB/atom

# 9
# CrH8C4S4N6

A geometry-optimized CrH8C4S4N6 structure (PBE-GGA, the Alexandria database).

Geometry as POSCAR:
```
CrH8C4S4N6
1.0
-0.675 3.327 -2.352
3.191 -4.467 -5.310
-9.149 -4.725 -0.811
N S H C Cr
6 4 8 4 1
direct
0.405 0.445 0.793
0.937 0.904 0.813
0.595 0.555 0.207
0.063 0.096 0.187
0.575 0.198 0.703
0.425 0.802 0.297
0.980 0.713 0.579
0.020 0.287 0.421
0.345 0.764 0.033
0.655 0.236 0.967
0.329 0.916 0.283
0.518 0.773 0.391
0.482 0.227 0.609
0.669 0.510 0.298
0.614 0.477 0.127
0.671 0.084 0.717
0.331 0.490 0.702
0.386 0.523 0.873
0.046 0.177 0.287
0.954 0.823 0.713
0.539 0.296 0.808
0.461 0.704 0.192
0.000 0.000 0.000
```

Output
- Final energy: -6.24 eV per atom
- Crystal system: triclinic
- Symmetry: No. 2
- Total magnetization: 0.174 μB/atom

# 10
# LiZn2Au

A geometry-optimized LiZn2Au structure (PBE-GGA, the Alexandria database).

Geometry as POSCAR:
```
LiZn2Au
1.0
4.821 -0.025 0.000
-1.771 4.484 0.000
0.000 0.000 2.890
Zn Li Au
2 1 1
direct
0.000 0.000 0.000
0.500 0.500 0.000
0.000 0.500 0.500
0.500 0.000 0.500
```

Output
- DFT formation energy: -0.198 eV per atom
- Offset from the most stable computed form: 0.1639 eV/atom
- Crystal system: orthorhombic
- Symmetry: No. 65
- Total magnetization: 0.000 μB/atom

# 11
# YMgRu

A geometry-optimized YMgRu structure (PBE-GGA, the Alexandria database).

Geometry as POSCAR:
```
YMgRu
1.0
-2.677 -5.111 -1.276
0.329 -5.898 0.142
-1.604 -1.010 2.841
Mg Y Ru
1 1 1
direct
0.968 0.968 0.032
0.692 0.692 0.308
0.340 0.340 0.660
```

Output
- DFT formation energy: -0.158 eV per atom
- Crystal system: tetragonal
- Symmetry: No. 107
- Total magnetization: 0.000 μB/atom

# 12
# Nd4RuRh

A geometry-optimized Nd4RuRh structure (PBE-GGA, the Alexandria database).

Geometry as POSCAR:
```
Nd4RuRh
1.0
1.103 2.658 -5.798
-0.787 -7.282 -2.071
-6.827 3.269 3.104
Nd Ru Rh
8 2 2
direct
0.794 0.690 0.648
0.636 0.369 0.132
0.364 0.631 0.868
0.354 0.958 0.648
0.996 0.764 0.132
0.646 0.042 0.352
0.004 0.236 0.868
0.206 0.310 0.352
0.253 0.003 0.006
0.747 0.997 0.994
0.613 0.363 0.726
0.387 0.637 0.274
```

Output
- DFT formation energy: -0.363 eV per atom
- Offset from the most stable computed form: 0.0000 eV/atom
- Crystal system: monoclinic
- Symmetry: No. 15
- Total magnetization: 0.000 μB/atom

# 13
# TlSb3Pb3

A geometry-optimized TlSb3Pb3 structure (PBE-GGA, the Alexandria database).

Geometry as POSCAR:
```
TlSb3Pb3
1.0
9.105 0.000 0.000
4.552 7.885 0.000
4.552 2.628 7.135
Sb Pb Tl
6 6 2
direct
0.074 0.733 0.778
0.267 0.584 0.222
0.926 0.267 0.222
0.584 0.926 0.222
0.733 0.416 0.778
0.416 0.074 0.778
0.213 0.883 0.341
0.787 0.117 0.659
0.437 0.787 0.659
0.117 0.437 0.659
0.563 0.213 0.341
0.883 0.563 0.341
0.666 0.666 0.003
0.334 0.334 0.997
```

Output
- Offset from the most stable computed form: 0.0000 eV/atom
- Crystal system: trigonal
- Symmetry: No. 148
- Formation energy (no corrections): 0.0374 eV per atom
- Total magnetization: 0.000 μB/atom

# 14
# LiGa2Pb

A geometry-optimized LiGa2Pb structure (PBE-GGA, the Alexandria database).

Geometry as POSCAR:
```
LiGa2Pb
1.0
-3.355 -2.755 -0.840
-2.089 -2.020 3.332
-5.147 2.371 1.143
Li Ga Pb
1 2 1
direct
0.716 0.716 0.851
0.990 0.990 0.029
0.290 0.290 0.131
0.504 0.504 0.489
```

Output
- DFT formation energy: -0.073 eV per atom
- Crystal system: trigonal
- Symmetry: No. 160
- Total magnetization: 0.000 μB/atom

# 15
# InSbTe

A geometry-optimized InSbTe structure (PBE-GGA, the Alexandria database).

Geometry as POSCAR:
```
InSbTe
1.0
5.765 0.000 0.000
-2.882 4.992 0.000
0.000 0.000 3.107
Te In Sb
1 1 1
direct
0.333 0.667 0.334
0.000 0.000 0.329
0.667 0.333 0.336
```

Output
- Offset from the most stable computed form: 0.1751 eV/atom
- Crystal system: trigonal
- Symmetry: No. 156
- Formation energy (no corrections): 0.0763 eV per atom
- Total magnetization: 0.000 μB/atom

# 16
# YSn2Rh2

A geometry-optimized YSn2Rh2 structure (PBE-GGA, the Alexandria database).

Geometry as POSCAR:
```
YSn2Rh2
1.0
-3.016 7.105 2.178
-6.913 -3.545 1.989
1.041 -0.432 2.849
Sn Rh Y
4 4 2
direct
0.637 0.137 0.000
0.863 0.637 0.000
0.363 0.863 0.000
0.137 0.363 0.000
0.842 0.342 0.500
0.658 0.842 0.500
0.342 0.158 0.500
0.158 0.658 0.500
0.000 0.000 0.000
0.500 0.500 0.000
```

Output
- DFT formation energy: -0.460 eV per atom
- Crystal system: tetragonal
- Symmetry: No. 127
- Total magnetization: 0.072 μB/atom

# 17
# PrZnHg2

A geometry-optimized PrZnHg2 structure (PBE-GGA, the Alexandria database).

Geometry as POSCAR:
```
PrZnHg2
1.0
4.528 0.000 -1.066
0.000 9.580 0.000
-0.265 0.000 9.019
Pr Hg Zn
4 8 4
direct
0.702 0.250 0.405
0.298 0.750 0.595
0.500 0.500 0.000
0.500 0.000 0.000
0.939 0.750 0.878
0.061 0.250 0.122
0.901 0.250 0.802
0.309 0.407 0.619
0.099 0.750 0.198
0.691 0.593 0.381
0.691 0.907 0.381
0.309 0.093 0.619
0.146 0.476 0.291
0.146 0.024 0.291
0.854 0.524 0.709
0.854 0.976 0.709
```

Output
- DFT formation energy: -0.329 eV per atom
- Offset from the most stable computed form: 0.0000 eV/atom
- Crystal system: orthorhombic
- Symmetry: No. 63
- Total magnetization: 0.000 μB/atom

# 18
# Tl2IrO

A geometry-optimized Tl2IrO structure (PBE-GGA, the Alexandria database).

Geometry as POSCAR:
```
Tl2IrO
1.0
0.000 3.300 3.300
3.300 0.000 3.300
3.300 3.300 0.000
Tl Ir O
2 1 1
direct
0.750 0.750 0.750
0.250 0.250 0.250
0.500 0.500 0.500
0.000 0.000 0.000
```

Output
- Offset from the most stable computed form: 0.3337 eV/atom
- Crystal system: cubic
- Symmetry: No. 225
- Formation energy (no corrections): 0.5712 eV per atom
- Total magnetization: 0.000 μB/atom

# 19
# Cu2SnAu8

A geometry-optimized Cu2SnAu8 structure (PBE-GGA, the Alexandria database).

Geometry as POSCAR:
```
Cu2SnAu8
1.0
4.096 0.000 -1.091
-0.476 6.439 -1.788
-0.191 -0.354 7.521
Au Sn Cu
8 1 2
direct
0.047 0.722 0.094
0.848 0.779 0.697
0.395 0.531 0.789
0.683 0.925 0.365
0.317 0.075 0.635
0.605 0.469 0.211
0.953 0.278 0.906
0.152 0.221 0.303
0.500 0.000 0.000
0.777 0.355 0.554
0.223 0.645 0.446
```

Output
- DFT formation energy: -0.024 eV per atom
- Offset from the most stable computed form: 0.0000 eV/atom
- Crystal system: monoclinic
- Symmetry: No. 12
- Total magnetization: 0.000 μB/atom

# 20
# ThMo6Se8

A geometry-optimized ThMo6Se8 structure (PBE-GGA, the Alexandria database).

Geometry as POSCAR:
```
ThMo6Se8
1.0
6.788 0.185 -0.033
-0.034 6.791 -0.033
0.179 0.185 6.786
Se Th Mo
8 1 6
direct
0.757 0.371 0.121
0.371 0.121 0.757
0.760 0.760 0.760
0.243 0.629 0.879
0.879 0.243 0.629
0.629 0.879 0.243
0.121 0.757 0.371
0.240 0.240 0.240
0.000 0.000 0.000
0.235 0.424 0.561
0.765 0.576 0.439
0.424 0.561 0.235
0.576 0.439 0.765
0.439 0.765 0.576
0.561 0.235 0.424
```

Output
- Crystal system: trigonal
- Symmetry: No. 148
- Formation energy (no corrections): -0.7197 eV per atom
- Total magnetization: 0.000 μB/atom